The following is a DFT calculation (PBE) of an optimized crystal structure of PaBe17Pd.

Summary:
Space group: R3m
Formation energy (kJ/mol of formula units): -62

a = 5.728 Å, b = 5.728 Å, c = 5.728 Å
α = 83.36°, β = 83.36°, γ = 83.36°
Atoms (fractional coordinates):
1 Pa 0.655 0.655 0.655
2 Be 0.286 0.009 0.709
3 Be 0.709 0.286 0.009
4 Be 0.009 0.709 0.286
5 Be 0.286 0.709 0.009
6 Be 0.009 0.286 0.709
7 Be 0.709 0.009 0.286
8 Be 0.340 0.870 0.340
9 Be 0.340 0.340 0.870
10 Be 0.870 0.340 0.340
11 Be 0.655 0.159 0.655
12 Be 0.655 0.655 0.159
13 Be 0.159 0.655 0.655
14 Be 0.989 0.509 0.989
15 Be 0.989 0.989 0.509
16 Be 0.509 0.989 0.989
17 Be 0.905 0.905 0.905
18 Be 0.099 0.099 0.099
19 Pd 0.327 0.327 0.327